Run w
First-principles (GGA-PBE) data for an optimized crystal structure of Dy4Ho5Zr, as listed in Alexandria via LeMat-Bulk.

a = 3.4908 Å, b = 9.8697 Å, c = 10.4855 Å
α = 103.59°, β = 119.95°, γ = 90.11°
Atoms (fractional coordinates):
Ho 0.0924 0.0987 0.3953
Ho 0.0988 0.5999 0.3992
Dy 0.2909 0.2891 0.1938
Ho 0.9076 0.9013 0.6047
Dy 0.7091 0.7109 0.8062
Dy 0.7133 0.1930 0.8080
Ho 0.5000 0.5000 0.0000
Ho 0.9012 0.4001 0.6008
Dy 0.2867 0.8070 0.1920
Zr 0.5000 0.0000 0.0000

Run x
First-principles (GGA-PBE) data for an optimized crystal structure of Dy4Ho5Zr, as listed in Alexandria via LeMat-Bulk.

a = 5.8633 Å, b = 7.8970 Å, c = 7.8970 Å
α = 82.08°, β = 68.21°, γ = 68.21°
Atoms (fractional coordinates):
Dy 0.4375 0.3212 0.6789
Zr 0.2118 0.0000 0.0000
Dy 0.4376 0.6788 0.3211
Ho 0.1532 0.0000 0.6309
Ho 0.1532 0.6309 0.0000
Ho 0.7841 0.0000 0.3691
Ho 0.7842 0.3691 0.0000
Ho 0.6736 0.0000 0.0000
Dy 0.7587 0.6789 0.6788
Dy 0.1164 0.3211 0.3212

Verdict on stability: run w comes out on top.

Run w
First-principles (GGA-PBE) data for an optimized crystal structure of Dy2Ho6Zr, as listed in Alexandria via LeMat-Bulk.

a = 3.4926 Å, b = 9.4917 Å, c = 9.4927 Å
α = 120.00°, β = 90.00°, γ = 90.00°
Atoms (fractional coordinates):
Zr 0.5000 0.0000 0.0000
Ho 0.5000 0.3520 0.3520
Ho 0.0000 0.0000 0.2913
Ho 0.5000 0.0000 0.6480
Dy 0.0000 0.6668 0.3335
Ho 0.5000 0.6479 0.0000
Ho 0.0000 0.2914 0.0000
Dy 0.0000 0.3333 0.6665
Ho 0.0000 0.7087 0.7087

Run x
First-principles (GGA-PBE) data for an optimized crystal structure of Dy2Ho6Zr, as listed in Alexandria via LeMat-Bulk.

a = 6.5192 Å, b = 14.5493 Å, c = 9.1668 Å
α = 126.25°, β = 119.57°, γ = 53.05°
Atoms (fractional coordinates):
Ho 0.8852 0.7769 0.2440
Ho 0.4309 0.6748 0.1105
Ho 0.7461 0.0004 0.7003
Zr 0.7978 0.8865 0.9687
Dy 0.0917 0.3101 0.4584
Ho 0.2539 0.9996 0.2997
Ho 0.0438 0.4248 0.1849
Ho 0.9562 0.5752 0.8151
Ho 0.6962 0.0962 0.4033
Ho 0.5691 0.3252 0.8895
Dy 0.4898 0.5551 0.3745
Ho 0.6529 0.1967 0.1387
Ho 0.3038 0.9038 0.5967
Dy 0.5102 0.4449 0.6255
Dy 0.9083 0.6899 0.5416
Ho 0.1148 0.2231 0.7560
Ho 0.3471 0.8033 0.8613
Zr 0.2022 0.1135 0.0313

Verdict on stability: run w comes out on top.

Run w
First-principles (GGA-PBE) data for an optimized crystal structure of DyHo4Zr, as listed in Alexandria via LeMat-Bulk.

a = 6.2255 Å, b = 8.9302 Å, c = 8.3304 Å
α = 113.45°, β = 100.12°, γ = 111.68°
Atoms (fractional coordinates):
Ho 0.7708 0.4054 0.2304
Ho 0.3673 0.9070 0.6248
Dy 0.3430 0.5930 0.1860
Ho 0.0404 0.1750 0.7696
Ho 0.9596 0.8250 0.2304
Ho 0.7575 0.7178 0.6248
Ho 0.6327 0.0930 0.3752
Dy 0.6570 0.4070 0.8140
Zr 0.7530 0.0030 0.0060
Ho 0.2292 0.5946 0.7696
Zr 0.2470 0.9970 0.9940
Ho 0.2425 0.2822 0.3752

Run x
First-principles (GGA-PBE) data for an optimized crystal structure of DyHo4Zr, as listed in Alexandria via LeMat-Bulk.

a = 3.4591 Å, b = 9.1576 Å, c = 7.7995 Å
α = 126.62°, β = 63.51°, γ = 100.98°
Atoms (fractional coordinates):
Ho 0.6597 0.3229 0.0025
Ho 0.1791 0.3204 0.4805
Dy 0.5000 0.0000 0.4999
Ho 0.8208 0.6796 0.5195
Ho 0.3403 0.6770 0.9975
Zr 0.9999 0.0000 0.0000

Verdict on stability: run x comes out on top.

Run w
First-principles (GGA-PBE) data for an optimized crystal structure of Dy5Ho4Zr, as listed in Alexandria via LeMat-Bulk.

a = 3.4242 Å, b = 10.7346 Å, c = 8.8940 Å
α = 73.50°, β = 101.10°, γ = 90.00°
Atoms (fractional coordinates):
Dy 0.5000 0.5000 0.0000
Zr 0.5000 0.0000 0.0000
Ho 0.9090 0.8128 0.8180
Ho 0.0910 0.1872 0.1820
Ho 0.3059 0.0813 0.6117
Dy 0.7947 0.5989 0.5893
Dy 0.1034 0.7201 0.2068
Ho 0.6941 0.9187 0.3883
Dy 0.8966 0.2799 0.7932
Dy 0.2053 0.4011 0.4107

Run x
First-principles (GGA-PBE) data for an optimized crystal structure of Dy5Ho4Zr, as listed in Alexandria via LeMat-Bulk.

a = 5.8806 Å, b = 7.8908 Å, c = 7.8908 Å
α = 82.02°, β = 68.12°, γ = 68.12°
Atoms (fractional coordinates):
Ho 0.4375 0.3213 0.6788
Ho 0.4376 0.6787 0.3212
Zr 0.2124 0.0000 0.0000
Ho 0.7588 0.6788 0.6787
Dy 0.6721 0.0000 0.0000
Dy 0.7845 0.3689 0.9999
Ho 0.1163 0.3212 0.3213
Dy 0.7844 0.0001 0.3689
Dy 0.1534 0.9999 0.6311
Dy 0.1533 0.6311 0.0001

Verdict on stability: run w comes out on top.

Run w
First-principles (GGA-PBE) data for an optimized crystal structure of Dy2Ho8Zr, as listed in Alexandria via LeMat-Bulk.

a = 6.5441 Å, b = 9.8929 Å, c = 9.8929 Å
α = 38.14°, β = 61.21°, γ = 61.21°
Atoms (fractional coordinates):
Dy 0.4507 0.1850 0.1850
Zr 0.0000 0.0000 0.0000
Ho 0.2278 0.8241 0.3363
Ho 0.7286 0.5934 0.5934
Dy 0.5493 0.8150 0.8150
Ho 0.7722 0.6637 0.1759
Ho 0.2278 0.3363 0.8241
Ho 0.8451 0.2456 0.2456
Ho 0.2714 0.4066 0.4066
Ho 0.7722 0.1759 0.6637
Ho 0.1549 0.7544 0.7544

Run x
First-principles (GGA-PBE) data for an optimized crystal structure of Dy2Ho8Zr, as listed in Alexandria via LeMat-Bulk.

a = 4.9289 Å, b = 7.8226 Å, c = 9.2382 Å
α = 104.70°, β = 105.47°, γ = 90.00°
Atoms (fractional coordinates):
Ho 0.4109 0.5556 0.8218
Dy 0.2262 0.6346 0.4525
Zr 0.5000 0.0000 0.0000
Ho 0.9558 0.2634 0.9117
Ho 0.0442 0.7366 0.0883
Dy 0.7738 0.3654 0.5475
Ho 0.5891 0.4444 0.1782
Ho 0.6788 0.9100 0.3576
Ho 0.3212 0.0900 0.6424
Ho 0.8681 0.8250 0.7363
Ho 0.1319 0.1750 0.2637

Verdict on stability: run x comes out on top.

Run w
First-principles (GGA-PBE) data for an optimized crystal structure of Dy6Ho3Zr, as listed in Alexandria via LeMat-Bulk.

a = 4.8833 Å, b = 11.3907 Å, c = 12.4000 Å
α = 90.00°, β = 113.12°, γ = 90.00°
Atoms (fractional coordinates):
Zr 0.0000 0.0000 0.0000
Ho 0.6462 0.8529 0.1468
Dy 0.8527 0.6480 0.3523
Ho 0.3538 0.1471 0.8532
Dy 0.3527 0.8520 0.8523
Zr 0.5000 0.5000 0.5000
Dy 0.7846 0.5003 0.7852
Dy 0.7154 0.0003 0.7148
Ho 0.8538 0.3529 0.3532
Dy 0.4998 0.2144 0.4997
Ho 0.0000 0.0000 0.5000
Dy 0.2154 0.4997 0.2148
Ho 0.5000 0.5000 0.0000
Dy 0.9998 0.2856 0.9997
Dy 0.5002 0.7856 0.5003
Dy 0.6473 0.1480 0.1477
Ho 0.1462 0.6471 0.6468
Dy 0.1473 0.3520 0.6477
Dy 0.0002 0.7144 0.0003
Dy 0.2846 0.9997 0.2852

Run x
First-principles (GGA-PBE) data for an optimized crystal structure of Dy6Ho3Zr, as listed in Alexandria via LeMat-Bulk.

a = 6.0904 Å, b = 10.8438 Å, c = 10.8438 Å
α = 119.79°, β = 90.00°, γ = 90.00°
Atoms (fractional coordinates):
Zr 0.6477 0.7917 0.2083
Dy 0.6481 0.2736 0.7264
Dy 0.8752 0.9539 0.5387
Ho 0.9416 0.0557 0.2815
Dy 0.3752 0.0461 0.4613
Dy 0.3752 0.5387 0.9539
Dy 0.5350 0.6198 0.7053
Ho 0.4416 0.9443 0.7185
Dy 0.0350 0.7053 0.6198
Ho 0.9416 0.7185 0.9443
Dy 0.4196 0.9492 0.0508
Ho 0.5664 0.6150 0.3850
Zr 0.1477 0.2083 0.7917
Dy 0.9196 0.0508 0.9492
Dy 0.0350 0.3802 0.2947
Dy 0.8752 0.4613 0.0461
Ho 0.0664 0.3850 0.6150
Dy 0.1481 0.7264 0.2736
Dy 0.5350 0.2947 0.3802
Ho 0.4416 0.2815 0.0557

Verdict on stability: run x comes out on top.

Run w
First-principles (GGA-PBE) data for an optimized crystal structure of Dy2IrI, as listed in Alexandria via LeMat-Bulk.

a = 4.1174 Å, b = 4.1174 Å, c = 8.2158 Å
α = 75.49°, β = 75.49°, γ = 60.00°
Atoms (fractional coordinates):
Dy 0.7264 0.7264 0.8209
Dy 0.2736 0.2736 0.1791
I 0.5000 0.5000 0.5000
Ir 0.0000 0.0000 0.0000

Run x
First-principles (GGA-PBE) data for an optimized crystal structure of Dy2IrI, as listed in Alexandria via LeMat-Bulk.

a = 4.1414 Å, b = 4.1414 Å, c = 8.2298 Å
α = 82.79°, β = 82.79°, γ = 60.26°
Atoms (fractional coordinates):
Dy 0.1992 0.1992 0.4336
Dy 0.9214 0.9214 0.0908
I 0.8172 0.8172 0.7187
Ir 0.5622 0.5622 0.2569

Verdict on stability: run w comes out on top.

Run w
First-principles (GGA-PBE) data for an optimized crystal structure of KDyI3, as listed in Alexandria via LeMat-Bulk.

a = 8.3723 Å, b = 8.3723 Å, c = 11.6859 Å
α = 90.00°, β = 90.00°, γ = 151.44°
Atoms (fractional coordinates):
I 0.3623 0.6377 0.0561
Dy 0.0000 0.0000 0.5000
I 0.6377 0.3623 0.5561
I 0.0613 0.9387 0.2500
Dy 0.0000 0.0000 0.0000
I 0.9387 0.0613 0.7500
I 0.3623 0.6377 0.4439
I 0.6377 0.3623 0.9439
K 0.7428 0.2572 0.2500
K 0.2572 0.7428 0.7500

Run x
First-principles (GGA-PBE) data for an optimized crystal structure of KDyI3, as listed in Alexandria via LeMat-Bulk.

a = 6.0469 Å, b = 6.0469 Å, c = 6.0469 Å
α = 90.00°, β = 90.00°, γ = 90.00°
Atoms (fractional coordinates):
I 0.5000 0.0000 0.0000
I 0.0000 0.0000 0.5000
Dy 0.0000 0.0000 0.0000
I 0.0000 0.5000 0.0000
K 0.5000 0.5000 0.5000

Verdict on stability: run w comes out on top.